Cs6Rb3Pt: relaxed, PBE.

- Crystal system: trigonal
- Final energy: -14.3 eV per formula unit
- ρ: 2.36 Mg/m³
- DFT formation energy: -0.022 eV/atom
- Size of the total moment: 0.000 μB/cell

The structure in CIF format:
```
data_Cs6Rb3Pt
_space_group_name_H-M_alt 'R -3 m'
_space_group_IT_number 166
_space_group_name_Hall '-R 3 2"'
_cell_length_a 15.4817
_cell_length_b 15.4817
_cell_length_c 25.4374
_cell_angle_alpha 90.00
_cell_angle_beta 90.00
_cell_angle_gamma 120.00
loop_
_atom_site_label
_atom_site_type_symbol
_atom_site_fract_x
_atom_site_fract_y
_atom_site_fract_z
_atom_site_occupancy
Cs1 Cs 0.1025 0.2050 0.0763 1
Cs2 Cs 0.1034 0.2069 0.4223 1
Rb1 Rb 0.1088 0.2175 0.7528 1
Pt1 Pt 0.0000 0.0000 0.0000 1
Pt2 Pt 0.0000 0.0000 0.5000 1
```

CsRb2Pt2: relaxed, PBE.

- Crystal system: tetragonal
- Final energy: -13.7 eV per formula unit
- ρ: 6.93 Mg/m³
- DFT formation energy: 0.228 eV/atom
- Size of the total moment: 0.000 μB/cell

The structure in CIF format:
```
data_CsRb2Pt2
_space_group_name_H-M_alt 'P 4/m b m'
_space_group_IT_number 127
_space_group_name_Hall '-P 4 2ab'
_cell_length_a 9.9941
_cell_length_b 9.9941
_cell_length_c 3.3315
_cell_angle_alpha 90.00
_cell_angle_beta 90.00
_cell_angle_gamma 90.00
loop_
_atom_site_label
_atom_site_type_symbol
_atom_site_fract_x
_atom_site_fract_y
_atom_site_fract_z
_atom_site_occupancy
Cs1 Cs 0.0000 0.0000 0.0000 1
Rb1 Rb 0.1234 0.3766 0.5000 1
Pt1 Pt 0.1743 0.6743 0.0000 1
```

Cs3RbPt: relaxed, PBE.

- Crystal system: cubic
- Final energy: -9.4 eV per formula unit
- ρ: 3.31 Mg/m³
- Offset from the most stable computed form: 0.0 meV/atom
- DFT formation energy: 0.027 eV/atom
- Size of the total moment: 0.000 μB/cell

The structure in CIF format:
```
data_Cs3RbPt
_space_group_name_H-M_alt 'P m -3 m'
_space_group_IT_number 221
_space_group_name_Hall '-P 4 2 3'
_cell_length_a 6.9829
_cell_length_b 6.9829
_cell_length_c 6.9829
_cell_angle_alpha 90.00
_cell_angle_beta 90.00
_cell_angle_gamma 90.00
loop_
_atom_site_label
_atom_site_type_symbol
_atom_site_fract_x
_atom_site_fract_y
_atom_site_fract_z
_atom_site_occupancy
Cs1 Cs 0.0000 0.0000 0.5000 1
Rb1 Rb 0.5000 0.5000 0.5000 1
Pt1 Pt 0.0000 0.0000 0.0000 1
```

Cs6Rb5Pt: relaxed, PBE.

- Crystal system: monoclinic
- Final energy: -15.9 eV per formula unit
- ρ: 2.15 Mg/m³
- DFT formation energy: 0.004 eV/atom
- Size of the total moment: 0.000 μB/cell

The structure in CIF format:
```
data_Cs6Rb5Pt
_space_group_name_H-M_alt 'C 1 2/m 1'
_space_group_IT_number 12
_cell_length_a 12.9737
_cell_length_b 19.0468
_cell_length_c 9.1841
_cell_angle_alpha 90.00
_cell_angle_beta 104.56
_cell_angle_gamma 90.00
loop_
_space_group_symop_operation_xyz
'x,y,z'
'-x,-y,-z'
'-x,y,-z'
'x,-y,z'
'x+1/2,y+1/2,z'
'-x+1/2,-y+1/2,-z'
'-x+1/2,y+1/2,-z'
'x+1/2,-y+1/2,z'
loop_
_atom_site_label
_atom_site_type_symbol
_atom_site_fract_x
_atom_site_fract_y
_atom_site_fract_z
_atom_site_occupancy
Cs1 Cs 0.1469 0.0000 0.2366 1
Cs2 Cs 0.1671 0.1262 0.6758 1
Rb1 Rb 0.0000 0.2527 0.0000 1
Rb2 Rb 0.0000 0.3712 0.5000 1
Rb3 Rb 0.0000 0.5000 0.0000 1
Pt1 Pt 0.0000 0.0000 0.5000 1
```